Below is a relaxed Y2HoTl2Cd2 crystal, with properties calculated at the GGA-PBE level.

abc: 5.0064 5.0064 9.1976
angles: 74.21 74.21 60.00
Last column: nearest neighbours and their distance in Å.
Fractional positions:
1 Y 0.1318 0.1318 0.6047  3 Cd 3.08, 3 Tl 3.41, 3 Y 3.42
2 Y 0.8682 0.8682 0.3953  3 Cd 3.08, 3 Tl 3.41, 3 Y 3.42
3 Ho 0.0000 0.0000 0.0000  6 Tl 3.32, 2 Y 3.45
4 Tl 0.7290 0.7290 0.8129  3 Cd 2.99, 3 Ho 3.32
5 Tl 0.2710 0.2710 0.1871  3 Cd 2.99, 3 Ho 3.32
6 Cd 0.5754 0.5754 0.2737  3 Tl 2.99, 3 Y 3.08
7 Cd 0.4246 0.4246 0.7263  3 Tl 2.99, 3 Y 3.08

Calculated values
E_tot, eV per atom: -3.57
Crystal system: trigonal
Energy relative to the elements, eV/f.u.: -0.891

---

Below is a relaxed SiAg2Pb crystal, with properties calculated at the GGA-PBE level.

abc: 3.2718 3.2709 7.7613
angles: 90.00 90.00 90.00
Last column: nearest neighbours and their distance in Å.
Fractional positions:
1 Ag 0.0000 0.0000 0.9478  4 Si 2.78, 1 Ag 3.07
2 Ag 0.0000 0.0000 0.5522  4 Si 2.78, 1 Ag 3.07
3 Pb 0.5000 0.5000 0.2500  4 Pb 3.27, 8 Ag 3.29
4 Si 0.5000 0.5000 0.7500  8 Ag 2.78

Calculated values
Offset from the most stable computed form, meV/atom: 0.0
ΔE_f (raw), meV/atom: 267
E_tot, eV per atom: -3.44
Crystal system: tetragonal

---

Below is a relaxed Tm2PuInC crystal, with properties calculated at the GGA-PBE level.

abc: 4.7225 4.8947 4.8947
angles: 90.00 90.00 90.00
Last column: nearest neighbours and their distance in Å.
Fractional positions:
1 Tm 0.0000 0.0000 0.5000  2 C 2.45
2 Tm 0.0000 0.5000 0.0000  2 C 2.45
3 Pu 0.5000 0.0000 0.0000  2 C 2.36
4 In 0.5000 0.5000 0.5000  8 Tm 3.40, 4 Pu 3.46
5 C 0.0000 0.0000 0.0000  2 Pu 2.36, 4 Tm 2.45

Calculated values
E_tot, eV per atom: -7.39
Crystal system: tetragonal
Energy relative to the elements, eV/f.u.: -1.732

---

Below is a relaxed Ba3InPt crystal, with properties calculated at the GGA-PBE level.

abc: 4.7375 9.0739 11.0014
angles: 77.37 77.57 74.87
Last column: nearest neighbours and their distance in Å.
Fractional positions:
1 Ba 0.8423 0.0038 0.3115  1 Pt 3.16
2 Ba 0.1577 0.9962 0.6885  1 Pt 3.16
3 Ba 0.6276 0.7052 0.0396  3 Pt 3.15-3.22
4 Ba 0.3724 0.2948 0.9604  3 Pt 3.15-3.22
5 Ba 0.8712 0.5826 0.6751  2 Pt 3.21
6 Ba 0.1288 0.4174 0.3249  2 Pt 3.21
7 In 0.4403 0.7016 0.4177  6 Ba 3.59-3.70, 1 In 3.67
8 In 0.5597 0.2984 0.5823  6 Ba 3.59-3.70, 1 In 3.67
9 Pt 0.2415 0.6616 0.8553  6 Ba 3.15-3.22
10 Pt 0.7585 0.3384 0.1447  6 Ba 3.15-3.22

Calculated values
Offset from the most stable computed form, meV/atom: 0.0
E_tot, eV per atom: -3.40
Crystal system: monoclinic
Energy relative to the elements, eV/f.u.: -2.437

---

Below is a relaxed Na3PmF6 crystal, with properties calculated at the GGA-PBE level.

abc: 4.0341 6.1616 11.8511
angles: 90.00 90.00 90.00
Last column: nearest neighbours and their distance in Å.
Fractional positions:
1 Na 0.5000 0.9369 0.7396  4 F 2.27-2.36
2 Na 0.5000 0.5000 0.0000  2 F 2.17
3 Na 0.5000 0.0631 0.2604  4 F 2.27-2.36
4 Na 0.0000 0.5631 0.2396  4 F 2.27-2.36
5 Na 0.0000 0.0000 0.5000  2 F 2.17
6 Na 0.0000 0.4369 0.7604  4 F 2.27-2.36
7 Pm 0.5000 0.5000 0.5000  8 F 2.33-2.40
8 Pm 0.0000 0.0000 0.0000  8 F 2.33-2.40
9 F 0.5000 0.1685 0.9377  1 Na 2.17, 2 Pm 2.39
10 F 0.5000 0.1580 0.5846  3 Na 2.29-2.45, 1 Pm 2.33
11 F 0.5000 0.4390 0.3001  3 Na 2.27-2.36, 1 Pm 2.40
12 F 0.5000 0.5610 0.6999  3 Na 2.27-2.36, 1 Pm 2.40
13 F 0.5000 0.8420 0.4154  3 Na 2.29-2.45, 1 Pm 2.33
14 F 0.5000 0.8315 0.0623  1 Na 2.17, 2 Pm 2.39
15 F 0.0000 0.3315 0.4377  1 Na 2.17, 2 Pm 2.39
16 F 0.0000 0.3420 0.0846  3 Na 2.29-2.45, 1 Pm 2.33
17 F 0.0000 0.0610 0.8001  3 Na 2.27-2.36, 1 Pm 2.40
18 F 0.0000 0.9390 0.1999  3 Na 2.27-2.36, 1 Pm 2.40
19 F 0.0000 0.6580 0.9154  3 Na 2.29-2.45, 1 Pm 2.33
20 F 0.0000 0.6685 0.5623  1 Na 2.17, 2 Pm 2.39

Calculated values
Offset from the most stable computed form, meV/atom: 7.2
ΔE_f (raw), meV/atom: -3236
E_tot, eV per atom: -5.23
Crystal system: orthorhombic

---

Below is a relaxed CdCu2Sn crystal, with properties calculated at the GGA-PBE level.

abc: 3.4159 3.4159 5.9985
angles: 90.00 90.00 90.00
Last column: nearest neighbours and their distance in Å.
Fractional positions:
1 Sn 0.5000 0.5000 0.5000  8 Cu 2.87, 2 Cd 3.00
2 Cu 0.0000 0.0000 0.7572  4 Cd 2.82, 4 Sn 2.87, 2 Cu 2.91-3.09
3 Cu 0.0000 0.0000 0.2428  4 Cd 2.82, 4 Sn 2.87, 2 Cu 2.91-3.09
4 Cd 0.5000 0.5000 0.0000  8 Cu 2.82, 2 Sn 3.00

Calculated values
E_tot, eV per atom: -3.16
Crystal system: tetragonal
Energy relative to the elements, eV/f.u.: 0.482

---

Below is a relaxed PrSc2Nb crystal, with properties calculated at the GGA-PBE level.

abc: 3.7149 3.7149 7.1873
angles: 90.00 90.00 90.00
Last column: nearest neighbours and their distance in Å.
Fractional positions:
1 Pr 0.5000 0.5000 0.5000  8 Sc 3.39, 2 Nb 3.59, 4 Pr 3.71
2 Sc 0.0000 0.0000 0.7983  1 Sc 2.90, 4 Nb 3.00
3 Sc 0.0000 0.0000 0.2017  1 Sc 2.90, 4 Nb 3.00
4 Nb 0.5000 0.5000 0.0000  8 Sc 3.00

Calculated values
Offset from the most stable computed form, meV/atom: 0.0
E_tot, eV per atom: -6.71
Crystal system: tetragonal
Energy relative to the elements, eV/f.u.: 0.676

---

Below is a relaxed Hg12Pd3F5 crystal, with properties calculated at the GGA-PBE level.

abc: 13.3956 13.3956 13.3956
angles: 109.47 109.47 109.47
Last column: nearest neighbours and their distance in Å.
Fractional positions:
1 Pd 0.7500 0.3750 0.1250  8 Hg 2.70-3.01
2 Pd 0.8750 0.7500 0.1250  8 Hg 2.70-3.01
3 Pd 0.3750 0.7500 0.6250  8 Hg 2.70-3.01
4 Pd 0.2500 0.1250 0.3750  8 Hg 2.70-3.01
5 Pd 0.8750 0.1250 0.2500  8 Hg 2.70-3.01
6 Pd 0.3750 0.6250 0.2500  8 Hg 2.70-3.01
7 Pd 0.6250 0.3750 0.7500  8 Hg 2.70-3.01
8 Pd 0.1250 0.8750 0.7500  8 Hg 2.70-3.01
9 Pd 0.7500 0.8750 0.6250  8 Hg 2.70-3.01
10 Pd 0.6250 0.2500 0.3750  8 Hg 2.70-3.01
11 Pd 0.1250 0.2500 0.8750  8 Hg 2.70-3.01
12 Pd 0.2500 0.6250 0.8750  8 Hg 2.70-3.01
13 F 0.1250 0.3750 0.2500  4 Hg 2.49
14 F 0.0000 0.5000 0.0000  6 Hg 2.69
15 F 0.0000 0.0000 0.0000  6 Hg 2.69
16 F 0.3750 0.2500 0.1250  4 Hg 2.49
17 F 0.5000 0.0000 0.5000  6 Hg 2.69
18 F 0.5000 0.5000 0.0000  6 Hg 2.69
19 F 0.1250 0.7500 0.3750  4 Hg 2.49
20 F 0.7500 0.1250 0.8750  4 Hg 2.49
21 F 0.7500 0.6250 0.3750  4 Hg 2.49
22 F 0.3750 0.1250 0.7500  4 Hg 2.49
23 F 0.6250 0.8750 0.2500  4 Hg 2.49
24 F 0.5000 0.5000 0.5000  6 Hg 2.69
25 F 0.5000 0.0000 0.0000  6 Hg 2.69
26 F 0.0000 0.0000 0.5000  6 Hg 2.69
27 F 0.2500 0.3750 0.6250  4 Hg 2.49
28 F 0.2500 0.8750 0.1250  4 Hg 2.49
29 F 0.0000 0.5000 0.5000  6 Hg 2.69
30 F 0.8750 0.2500 0.6250  4 Hg 2.49
31 F 0.6250 0.7500 0.8750  4 Hg 2.49
32 F 0.8750 0.6250 0.7500  4 Hg 2.49
33 Hg 0.7321 0.1288 0.0551  2 F 2.49-2.69, 1 Pd 2.70
34 Hg 0.3230 0.5551 0.4263  2 F 2.49-2.69, 1 Pd 2.70
35 Hg 0.9449 0.3712 0.2679  2 F 2.49-2.69, 1 Pd 2.70
36 Hg 0.5551 0.2321 0.1288  2 F 2.49-2.69, 1 Pd 2.70
37 Hg 0.6033 0.7321 0.6770  2 F 2.49-2.69, 1 Pd 2.70
38 Hg 0.9449 0.5737 0.1770  2 F 2.49-2.69, 1 Pd 2.70
39 Hg 0.3230 0.7679 0.3967  2 F 2.49-2.69, 1 Pd 2.70
40 Hg 0.0737 0.8967 0.1288  2 F 2.49-2.69, 1 Pd 2.70
41 Hg 0.5737 0.9449 0.6770  2 F 2.49-2.69, 1 Pd 2.70
42 Hg 0.7321 0.6033 0.1770  2 F 2.49-2.69, 1 Pd 2.70
43 Hg 0.7679 0.4449 0.3712  2 F 2.49-2.69, 1 Pd 2.70
44 Hg 0.8230 0.9263 0.0551  2 F 2.49-2.69, 1 Pd 2.70
45 Hg 0.1288 0.7321 0.5551  2 F 2.49-2.69, 1 Pd 2.70
46 Hg 0.3712 0.4263 0.1033  2 F 2.49-2.69, 1 Pd 2.70
47 Hg 0.1033 0.9263 0.3712  2 F 2.49-2.69, 1 Pd 2.70
48 Hg 0.3967 0.1288 0.5737  2 F 2.49-2.69, 1 Pd 2.70
49 Hg 0.1033 0.1770 0.2321  2 F 2.49-2.69, 1 Pd 2.70
50 Hg 0.4449 0.6770 0.0737  2 F 2.49-2.69, 1 Pd 2.70
51 Hg 0.8230 0.8967 0.2679  2 F 2.49-2.69, 1 Pd 2.70
52 Hg 0.1288 0.3967 0.0737  2 F 2.49-2.69, 1 Pd 2.70
53 Hg 0.3712 0.9449 0.7679  2 F 2.49-2.69, 1 Pd 2.70
54 Hg 0.5737 0.6288 0.3967  2 F 2.49-2.69, 1 Pd 2.70
55 Hg 0.9263 0.8230 0.5551  2 F 2.49-2.69, 1 Pd 2.70
56 Hg 0.7679 0.3230 0.8967  2 F 2.49-2.69, 1 Pd 2.70
57 Hg 0.4263 0.3712 0.6033  2 F 2.49-2.69, 1 Pd 2.70
58 Hg 0.0737 0.1770 0.4449  2 F 2.49-2.69, 1 Pd 2.70
59 Hg 0.2321 0.6770 0.1033  2 F 2.49-2.69, 1 Pd 2.70
60 Hg 0.1770 0.1033 0.7321  2 F 2.49-2.69, 1 Pd 2.70
61 Hg 0.6288 0.0551 0.2321  2 F 2.49-2.69, 1 Pd 2.70
62 Hg 0.8712 0.6033 0.9263  2 F 2.49-2.69, 1 Pd 2.70
63 Hg 0.5551 0.3230 0.9263  2 F 2.49-2.69, 1 Pd 2.70
64 Hg 0.6033 0.8712 0.4263  2 F 2.49-2.69, 1 Pd 2.70
65 Hg 0.8967 0.8230 0.7679  2 F 2.49-2.69, 1 Pd 2.70
66 Hg 0.8967 0.0737 0.6288  2 F 2.49-2.69, 1 Pd 2.70
67 Hg 0.8712 0.2679 0.4449  2 F 2.49-2.69, 1 Pd 2.70
68 Hg 0.1770 0.0737 0.9449  2 F 2.49-2.69, 1 Pd 2.70
69 Hg 0.6288 0.5737 0.8967  2 F 2.49-2.69, 1 Pd 2.70
70 Hg 0.4263 0.0551 0.3230  2 F 2.49-2.69, 1 Pd 2.70
71 Hg 0.2679 0.3967 0.8230  2 F 2.49-2.69, 1 Pd 2.70
72 Hg 0.2321 0.5551 0.6288  2 F 2.49-2.69, 1 Pd 2.70
73 Hg 0.9263 0.1033 0.8712  2 F 2.49-2.69, 1 Pd 2.70
74 Hg 0.6770 0.2321 0.6033  2 F 2.49-2.69, 1 Pd 2.70
75 Hg 0.4449 0.7679 0.8712  2 F 2.49-2.69, 1 Pd 2.70
76 Hg 0.0551 0.4263 0.8230  2 F 2.49-2.69, 1 Pd 2.70
77 Hg 0.3967 0.2679 0.3230  2 F 2.49-2.69, 1 Pd 2.70
78 Hg 0.0551 0.6288 0.7321  2 F 2.49-2.69, 1 Pd 2.70
79 Hg 0.6770 0.4449 0.5737  2 F 2.49-2.69, 1 Pd 2.70
80 Hg 0.2679 0.8712 0.9449  2 F 2.49-2.69, 1 Pd 2.70

Calculated values
ΔE_f (raw), meV/atom: -525
E_tot, eV per atom: -1.95
Crystal system: cubic